Record 1
P2PdCO | PBE | relaxed

Cell: 4.246 4.246 3.173 Å, 90.00 90.00 90.00°
Fractional positions:
P  0.500  0.000  0.000
P  0.000  0.500  0.000
C  0.000  0.000  0.000
O  0.000  0.000  0.500
Pd  0.500  0.500  0.500

energy relative to the elements, uncorrected: 821 meV/atom

***

Record 2
PIrW | PBE | relaxed

Cell: 4.023 4.023 4.023 Å, 60.00 60.00 60.00°
Fractional positions:
P  0.250  0.250  0.250
W  0.000  0.000  0.000
Ir  0.500  0.500  0.500

ΔH_f (0 K): 0.027 eV per atom

***

Record 3
BaCoTc2 | PBE | relaxed

Cell: 3.184 3.184 7.782 Å, 90.00 90.00 90.00°
Each line ends with the local moment (μB).
Fractional positions:
Ba  0.000  0.000  0.507  -0.02
Tc  0.500  0.500  0.163  0.06
Tc  0.000  0.000  0.998  0.27
Co  0.500  0.500  0.832  1.62

ΔH_f (0 K): 0.587 eV per atom

***

Record 4
La4SiN | PBE | relaxed

Cell: 5.237 6.842 10.027 Å, 90.00 90.00 90.00°
Fractional positions:
Si  0.895  0.949  0.000
Si  0.395  0.051  0.500
La  0.395  0.712  0.000
La  0.895  0.288  0.500
La  0.395  0.196  0.200
La  0.395  0.613  0.500
La  0.895  0.804  0.300
La  0.395  0.196  0.800
La  0.895  0.804  0.700
La  0.895  0.387  0.000
N  0.395  0.373  0.000
N  0.895  0.627  0.500

energy relative to the elements, uncorrected: -620 meV/atom

***

Listing Fermi-level density of states for the structures above in their given order: 2.21 2.55 5.51 11.78 states/eV per cell.